1.
The following is a DFT calculation (PBE) of crystalline Tb2Ho7Sc2 at its relaxed geometry.

Structure (POSCAR):
```
Tb2Ho7Sc2
1.0
5.538 -5.624 0.000
5.538 5.624 0.000
-2.273 0.000 5.403
Tb Ho Sc
2 7 2
direct
0.219 0.781 0.000
0.781 0.219 0.000
0.000 0.000 0.500
0.054 0.594 0.328
0.239 0.239 0.101
0.406 0.946 0.672
0.594 0.054 0.328
0.761 0.761 0.899
0.946 0.406 0.672
0.417 0.417 0.706
0.583 0.583 0.294
```

Properties
* relative energy among the computed polymorphs: 0.0366 eV/atom

***

2.
The following is a DFT calculation (PBE) of crystalline Tb3Ho5Sc2 at its relaxed geometry.

Structure (POSCAR):
```
Tb3Ho5Sc2
1.0
9.202 0.000 0.000
-3.935 8.321 0.000
-2.630 -4.162 7.793
Tb Ho Sc
6 10 4
direct
0.026 0.078 0.350
0.178 0.526 0.452
0.228 0.677 0.150
0.772 0.323 0.850
0.822 0.474 0.548
0.974 0.922 0.650
0.075 0.227 0.051
0.128 0.378 0.750
0.325 0.977 0.552
0.378 0.129 0.250
0.427 0.275 0.952
0.573 0.725 0.048
0.622 0.871 0.750
0.675 0.023 0.448
0.872 0.622 0.250
0.925 0.773 0.949
0.279 0.829 0.852
0.476 0.426 0.649
0.524 0.574 0.351
0.721 0.171 0.148
```

Properties
* relative energy among the computed polymorphs: 0.0000 eV/atom

***

3.
The following is a DFT calculation (PBE) of crystalline Tb4Ho2Sc at its relaxed geometry.

Structure (POSCAR):
```
Tb4Ho2Sc
1.0
2.724 -5.996 0.000
2.724 5.996 0.000
0.000 0.000 13.406
Tb Ho Sc
8 4 2
direct
0.141 0.859 0.820
0.243 0.757 0.575
0.257 0.743 0.075
0.359 0.641 0.320
0.641 0.359 0.680
0.743 0.257 0.925
0.757 0.243 0.425
0.859 0.141 0.180
0.069 0.931 0.344
0.431 0.569 0.844
0.569 0.431 0.156
0.931 0.069 0.656
0.000 0.000 0.000
0.500 0.500 0.500
```

Properties
* relative energy among the computed polymorphs: 0.0470 eV/atom

***

4.
The following is a DFT calculation (PBE) of crystalline TbHo5Sc6 at its relaxed geometry.

Structure (POSCAR):
```
TbHo5Sc6
1.0
2.955 -5.115 0.000
2.955 5.115 0.000
-1.964 0.000 10.942
Tb Ho Sc
1 5 6
direct
0.000 0.000 0.000
0.167 0.833 0.500
0.333 0.667 0.000
0.500 0.500 0.500
0.667 0.333 0.000
0.833 0.167 0.500
0.083 0.417 0.250
0.250 0.250 0.750
0.417 0.083 0.250
0.583 0.917 0.750
0.750 0.750 0.250
0.917 0.583 0.750
```

***

5.
The following is a DFT calculation (PBE) of crystalline Tb12Ho2Sc at its relaxed geometry.

Structure (POSCAR):
```
Tb12Ho2Sc
1.0
3.555 0.000 0.000
0.000 5.467 0.000
-0.095 0.000 24.578
Tb Ho Sc
12 2 1
direct
0.215 0.000 0.438
0.240 0.500 0.629
0.248 0.000 0.945
0.252 0.500 0.076
0.255 0.000 0.300
0.258 0.000 0.169
0.742 0.000 0.831
0.745 0.000 0.700
0.748 0.500 0.924
0.752 0.000 0.055
0.760 0.500 0.371
0.785 0.000 0.562
0.240 0.500 0.777
0.760 0.500 0.223
0.500 0.500 0.500
```

***

6.
The following is a DFT calculation (PBE) of crystalline Tb5Ho2Sc at its relaxed geometry.

Structure (POSCAR):
```
Tb5Ho2Sc
1.0
0.000 5.598 6.212
3.583 0.000 6.212
3.583 5.598 0.000
Tb Ho Sc
5 2 1
direct
0.000 0.000 0.000
0.000 0.505 0.000
0.084 0.084 0.416
0.505 0.000 0.495
0.584 0.584 0.916
0.091 0.582 0.418
0.582 0.091 0.909
0.501 0.501 0.499
```

***

For each record above, in turn, the calculated E_form values are 19.7, 3.6, 18.1, 5.4, 12.8, 1.7 kJ/mol of atoms.